Record 1
This record from the Alexandria database describes crystalline Cs2CuMoSe at its relaxed geometry. The functional is PBEsol.

Output
total magnetic moment: 5.50 μB per formula unit
space-group type: P4/mmm
DOS at the Fermi energy: 4.3 states/eV per cell
formation energy from raw total energies: 1.09 eV per atom

Cell: 4.7700 6.5285 6.5285 Å, 90.00 90.00 90.00°
Atoms (fractional coordinates):
Cs: 0.0000 0.0000 0.5000
Cs: 0.0000 0.5000 0.0000
Mo: 0.0000 0.0000 0.0000
Cu: 0.5000 0.0000 0.0000
Se: 0.5000 0.5000 0.5000

Record 2
This record from the Alexandria database describes crystalline AlVNi2 at its relaxed geometry. The functional is PBEsol.

Output
total magnetic moment: 0.00 μB per formula unit
space-group type: P4/mmm
DOS at the Fermi energy: 3.7 states/eV per cell
formation enthalpy at 0 K: -393 meV per atom

Cell: 2.6494 2.6494 6.6112 Å, 90.00 90.00 90.00°
Atoms (fractional coordinates):
Ni: 0.5000 0.5000 0.2407
Ni: 0.5000 0.5000 0.7593
Al: 0.0000 0.0000 0.0000
V: 0.0000 0.0000 0.5000

Record 3
This record from the Alexandria database describes crystalline Hf2InTe at its relaxed geometry. The functional is PBEsol.

Output
total magnetic moment: 0.00 μB per formula unit
space-group type: Fm-3m
DOS at the Fermi energy: 5.3 states/eV per cell
formation energy from raw total energies: -0.14 eV per atom

Cell: 4.9427 4.9427 4.9427 Å, 60.00 60.00 60.00°
Atoms (fractional coordinates):
Te: 0.5000 0.5000 0.5000
Hf: 0.2500 0.2500 0.2500
Hf: 0.7500 0.7500 0.7500
In: 0.0000 0.0000 0.0000

Record 4
This record from the Alexandria database describes crystalline BaNa3Ga at its relaxed geometry. The functional is PBEsol.

Output
total magnetic moment: 0.00 μB per formula unit
space-group type: Pm-3m
DOS at the Fermi energy: 3.7 states/eV per cell
formation enthalpy at 0 K: 106 meV per atom

Cell: 5.7125 5.7125 5.7125 Å, 90.00 90.00 90.00°
Atoms (fractional coordinates):
Na: 0.0000 0.5000 0.0000
Na: 0.0000 0.0000 0.5000
Na: 0.5000 0.0000 0.0000
Ba: 0.5000 0.5000 0.5000
Ga: 0.0000 0.0000 0.0000

Record 5
This record from the Alexandria database describes crystalline Li3In2 at its relaxed geometry. The functional is PBEsol.

Output
total magnetic moment: 0.00 μB per formula unit
space-group type: P-3m1
DOS at the Fermi energy: 1.6 states/eV per cell
formation enthalpy at 0 K: -228 meV per atom

Cell: 4.6163 4.6163 5.7940 Å, 90.00 90.00 120.00°
Atoms (fractional coordinates):
In: 0.3333 0.6667 0.8657
In: 0.6667 0.3333 0.1343
Li: 0.0000 0.0000 0.0000
Li: 0.3333 0.6667 0.3636
Li: 0.6667 0.3333 0.6364

Record 6
This record from the Alexandria database describes crystalline Sn5S4Cl2 at its relaxed geometry. The functional is PBEsol.

Output
total magnetic moment: 0.00 μB per formula unit
space-group type: Pma2
DOS at the Fermi energy: 0.2 states/eV per cell
formation energy from raw total energies: -0.56 eV per atom

Cell: 5.7515 5.7596 16.6113 Å, 90.00 90.00 90.00°
Atoms (fractional coordinates):
S: 0.2494 0.8060 0.5672
S: 0.7506 0.8060 0.4328
S: 0.7506 0.8060 0.0672
S: 0.2494 0.8060 0.9328
S: 0.2582 0.2983 0.4208
S: 0.7418 0.2983 0.5792
S: 0.7418 0.2983 0.9208
S: 0.2582 0.2983 0.0792
Sn: 0.2618 0.3280 0.5824
Sn: 0.7382 0.3280 0.4176
Sn: 0.7382 0.3280 0.0824
Sn: 0.2618 0.3280 0.9176
Sn: 0.2395 0.8307 0.4121
Sn: 0.7605 0.8307 0.5879
Sn: 0.7605 0.8307 0.9121
Sn: 0.2395 0.8307 0.0879
Sn: 0.8440 0.4612 0.7500
Sn: 0.1560 0.4612 0.2500
Cl: 0.9764 0.0362 0.7500
Cl: 0.0236 0.0362 0.2500
Cl: 0.3995 0.5031 0.7500
Cl: 0.6005 0.5031 0.2500

Record 7
This record from the Alexandria database describes crystalline Sr2Al at its relaxed geometry. The functional is PBEsol.

Output
total magnetic moment: 0.00 μB per formula unit
space-group type: I4/mmm
DOS at the Fermi energy: 2.5 states/eV per cell
formation enthalpy at 0 K: -79 meV per atom

Cell: 3.9548 3.9548 7.5662 Å, 105.15 105.15 90.00°
Atoms (fractional coordinates):
Sr: 0.8667 0.8667 0.7334
Sr: 0.1333 0.1333 0.2666
Al: 0.5000 0.5000 0.0000

Record 8
This record from the Alexandria database describes crystalline BaGa3Si at its relaxed geometry. The functional is PBEsol.

Output
total magnetic moment: 0.00 μB per formula unit
space-group type: Pm-3m
DOS at the Fermi energy: 2.7 states/eV per cell
formation energy from raw total energies: -0.01 eV per atom

Cell: 4.9299 4.9299 4.9299 Å, 90.00 90.00 90.00°
Atoms (fractional coordinates):
Si: 0.0000 0.0000 0.0000
Ba: 0.5000 0.5000 0.5000
Ga: 0.0000 0.5000 0.0000
Ga: 0.0000 0.0000 0.5000
Ga: 0.5000 0.0000 0.0000

Record 9
This record from the Alexandria database describes crystalline CaY3Cr at its relaxed geometry. The functional is PBEsol.

Output
total magnetic moment: 1.61 μB per formula unit
space-group type: Pm-3m
DOS at the Fermi energy: 4.3 states/eV per cell
formation enthalpy at 0 K: 339 meV per atom

Cell: 5.3365 5.3365 5.3365 Å, 90.00 90.00 90.00°
Atoms (fractional coordinates):
Y: 0.0000 0.5000 0.0000
Y: 0.0000 0.0000 0.5000
Y: 0.5000 0.0000 0.0000
Cr: 0.0000 0.0000 0.0000
Ca: 0.5000 0.5000 0.5000

Record 10
This record from the Alexandria database describes crystalline TiCo3B at its relaxed geometry. The functional is PBEsol.

Output
total magnetic moment: 0.00 μB per formula unit
space-group type: Pm-3m
DOS at the Fermi energy: 1.8 states/eV per cell
formation enthalpy at 0 K: -364 meV per atom

Cell: 3.7355 3.7355 3.7355 Å, 90.00 90.00 90.00°
Atoms (fractional coordinates):
B: 0.0000 0.0000 0.0000
Co: 0.0000 0.5000 0.0000
Co: 0.0000 0.0000 0.5000
Co: 0.5000 0.0000 0.0000
Ti: 0.5000 0.5000 0.5000

Record 11
This record from the Alexandria database describes crystalline TcPW2 at its relaxed geometry. The functional is PBEsol.

Output
total magnetic moment: 0.00 μB per formula unit
space-group type: R-3m
DOS at the Fermi energy: 3.1 states/eV per cell
formation enthalpy at 0 K: 137 meV per atom

Cell: 2.8417 2.8417 8.4077 Å, 80.27 80.27 60.00°
Atoms (fractional coordinates):
P: 0.5000 0.5000 0.5000
Tc: 0.0000 0.0000 0.0000
W: 0.2452 0.2452 0.2644
W: 0.7548 0.7548 0.7356

Record 12
This record from the Alexandria database describes crystalline TaSb2Os at its relaxed geometry. The functional is PBEsol.

Output
total magnetic moment: 0.00 μB per formula unit
space-group type: P4/mmm
DOS at the Fermi energy: 3.0 states/eV per cell
formation energy from raw total energies: 0.38 eV per atom

Cell: 3.3088 3.3088 6.5944 Å, 90.00 90.00 90.00°
Atoms (fractional coordinates):
Os: 0.5000 0.5000 0.5000
Sb: 0.0000 0.0000 0.7488
Sb: 0.0000 0.0000 0.2512
Ta: 0.5000 0.5000 0.0000